No. 1
DFT (PBE) results for crystalline TaHRu3 at its relaxed geometry.

Unit cell a=4.9151 b=5.2860 c=5.5692 alpha=104.86 beta=90.06 gamma=117.37
Space group P-1 (No. 2)
Asymmetric unit:
Ta 0.0297 0.2680 0.2004 x2
H 0.4766 0.4877 0.7447 x2
Ru 0.0308 0.2422 0.6968 x2
Ru 0.4632 0.7544 0.0678 x2
Ru 0.4653 0.7658 0.5669 x2

As for the magnetization: 0.0 μB per formula unit. The total energy comes out at -8.787 eV/atom.

***

No. 2
DFT (PBE) results for crystalline TaHRu3 at its relaxed geometry.

Unit cell a=8.0333 b=3.9359 c=8.8871 alpha=90.00 beta=116.08 gamma=90.00
Space group P2_1/c (No. 14)
Asymmetric unit:
Ta 0.1949 0.0122 0.1338 x4
H 0.2481 0.7102 0.9825 x4
Ru 0.0406 0.0253 0.3615 x4
Ru 0.3191 0.0185 0.8708 x4
Ru 0.4548 0.0165 0.6285 x4

As for the magnetization: 0.0 μB per formula unit. The total energy comes out at -8.645 eV/atom.

***

No. 3
DFT (PBE) results for crystalline TaH2Ru at its relaxed geometry.

Unit cell a=5.3604 b=5.3604 c=5.3604 alpha=90.00 beta=90.00 gamma=90.00
Space group Fm-3m (No. 225)
Asymmetric unit:
Ta 0.0000 0.0000 0.0000 x4
H 0.2500 0.2500 0.2500 x8
Ru 0.0000 0.0000 0.5000 x4

As for the magnetization: 0.0 μB per formula unit. The total energy comes out at -6.476 eV/atom.

***

No. 4
DFT (PBE) results for crystalline TaH3Ru3 at its relaxed geometry.

Unit cell a=4.0270 b=4.0270 c=4.0270 alpha=90.00 beta=90.00 gamma=90.00
Space group Pm-3m (No. 221)
Asymmetric unit:
Ta 0.0000 0.0000 0.0000 x1
H 0.0000 0.0000 0.5000 x3
Ru 0.0000 0.5000 0.5000 x3

As for the magnetization: 0.0 μB per formula unit. The total energy comes out at -7.193 eV/atom.

***

No. 5
DFT (PBE) results for crystalline TaH2Ru2 at its relaxed geometry.

Unit cell a=5.9683 b=5.9683 c=3.0434 alpha=90.00 beta=90.00 gamma=90.00
Space group P4/mbm (No. 127)
Asymmetric unit:
Ta 0.0000 0.0000 0.0000 x2
H 0.2299 0.2701 0.0000 x4
Ru 0.1521 0.6521 0.5000 x4

As for the magnetization: 0.0 μB per formula unit. The total energy comes out at -7.356 eV/atom.

***

No. 6
DFT (PBE) results for crystalline TaHRu3 at its relaxed geometry.

Unit cell a=10.3168 b=10.3168 c=10.3168 alpha=90.00 beta=90.00 gamma=90.00
Space group Fd-3m (No. 227, origin choice 2)
Asymmetric unit:
Ta 0.0000 0.0000 0.0000 x16
H 0.0000 0.0000 0.5000 x16
Ru 0.0666 0.3750 0.8750 x48

As for the magnetization: 0.0 μB per formula unit. The total energy comes out at -8.358 eV/atom.

***

No. 7
DFT (PBE) results for crystalline TaH2Ru2 at its relaxed geometry.

Unit cell a=3.0374 b=3.0374 c=11.3899 alpha=90.00 beta=90.00 gamma=90.00
Space group I4/mmm (No. 139)
Asymmetric unit:
Ta 0.0000 0.0000 0.0000 x2
H 0.0000 0.5000 0.2500 x4
Ru 0.0000 0.0000 0.3548 x4

As for the magnetization: 0.0 μB per formula unit. The total energy comes out at -7.478 eV/atom.

***

No. 8
DFT (PBE) results for crystalline TaHRu3 at its relaxed geometry.

Unit cell a=3.0094 b=6.6746 c=6.3231 alpha=90.00 beta=90.00 gamma=90.00
Space group Amm2 (No. 38)
Asymmetric unit:
Ta 0.0000 0.0000 0.0000 x2
H 0.5000 0.0000 0.4447 x2
Ru 0.0000 0.0000 0.5983 x2
Ru 0.5000 0.2167 0.2814 x4

As for the magnetization: 0.0 μB per formula unit. The total energy comes out at -8.625 eV/atom.

***

No. 9
DFT (PBE) results for crystalline Ta4H6Ru7 at its relaxed geometry.

Unit cell a=10.2267 b=7.5986 c=7.2529 alpha=90.00 beta=134.70 gamma=90.00
Space group Cm (No. 8)
Asymmetric unit:
Ta 0.0000 0.1912 0.0000 x4
Ta 0.4228 0.2069 0.3482 x4
H 0.0068 0.5000 0.6260 x2
H 0.1101 0.1762 0.3514 x4
H 0.1980 0.0000 0.6582 x2
H 0.2111 0.0000 0.0256 x2
H 0.3321 0.5000 0.0858 x2
Ru 0.0029 0.0000 0.6574 x2
Ru 0.1713 0.3164 0.8568 x4
Ru 0.2092 0.5000 0.5606 x2
Ru 0.2095 0.5000 0.1990 x2
Ru 0.2690 0.0000 0.4647 x2
Ru 0.3729 0.0000 0.0003 x2

As for the magnetization: 0.0 μB per formula unit. The total energy comes out at -7.684 eV/atom.

***

No. 10
DFT (PBE) results for crystalline TaHRu3 at its relaxed geometry.

Unit cell a=5.3113 b=5.3152 c=5.5918 alpha=105.70 beta=105.52 gamma=115.66
Space group P1 (No. 1)
Asymmetric unit:
Ta 0.0000 0.0000 0.0000 x1
Ta 0.0997 0.5391 0.6386 x1
H 0.7774 0.5183 0.3025 x1
H 0.7820 0.5002 0.8138 x1
Ru 0.0095 0.9758 0.4943 x1
Ru 0.0839 0.5571 0.1412 x1
Ru 0.4943 0.4667 0.9784 x1
Ru 0.5069 0.4748 0.4899 x1
Ru 0.5707 0.0455 0.1358 x1
Ru 0.5770 0.0476 0.6427 x1

As for the magnetization: 0.0 μB per formula unit. The total energy comes out at -8.812 eV/atom.

***

No. 11
DFT (PBE) results for crystalline TaHRu3 at its relaxed geometry.

Unit cell a=4.8718 b=4.8718 c=19.6662 alpha=90.00 beta=90.00 gamma=120.00
Space group R-3 (No. 148, hexagonal axes)
Asymmetric unit:
Ta 0.0000 0.0000 0.1666 x6
H 0.0000 0.0000 0.3329 x6
Ru 0.0031 0.3295 0.9407 x18

As for the magnetization: 0.0 μB per formula unit. The total energy comes out at -8.330 eV/atom.

***

No. 12
DFT (PBE) results for crystalline TaHRu2 at its relaxed geometry.

Unit cell a=5.9877 b=5.9877 c=5.9877 alpha=90.00 beta=90.00 gamma=90.00
Space group Fm-3m (No. 225)
Asymmetric unit:
Ta 0.0000 0.0000 0.0000 x4
H 0.0000 0.0000 0.5000 x4
Ru 0.2500 0.2500 0.2500 x8

As for the magnetization: 0.0 μB per formula unit. The total energy comes out at -8.026 eV/atom.